1.
This record from Alexandria describes crystalline NaTl2Pd3 at its relaxed geometry. The functional is GGA-PBE.

Cell: 10.0980 5.8255 4.4469 Å, 90.00 90.22 90.00°
With the nearest neighbours (Å) after each atom.
Space group C2/m (No. 12)
One atom of each set of equivalent atoms:
Na 0.0000 0.0000 0.0000 (multiplicity 2)  6 Tl 3.36, 12 Pd 3.66-3.67
Tl 0.1668 0.5000 0.0000 (multiplicity 4)  6 Pd 2.78-2.79
Pd 0.0000 0.5000 0.5000 (multiplicity 2)  4 Tl 2.78-2.79, 4 Pd 2.91
Pd 0.2500 0.2500 0.5000 (multiplicity 4)  4 Tl 2.79, 4 Pd 2.91

energy above the lowest structure with this stoichiometry	0.000	eV per atom
formation enthalpy at 0 K	-180	meV per atom
crystal system	monoclinic

=====

2.
This record from Alexandria describes crystalline Cr2AsIr at its relaxed geometry. The functional is GGA-PBE.

Cell: 5.3713 7.3397 2.8212 Å, 90.00 90.00 90.00°
With the nearest neighbours (Å) after each atom.
Space group Cmmm (No. 65)
One atom of each set of equivalent atoms:
Cr 0.2500 0.2500 0.0000 (multiplicity 4)  4 As 2.68, 4 Ir 2.68, 4 Cr 2.69-2.82
As 0.0000 0.0000 0.5000 (multiplicity 2)  8 Cr 2.68, 2 Ir 2.69, 2 As 2.82
Ir 0.0000 0.5000 0.5000 (multiplicity 2)  8 Cr 2.68, 2 As 2.69, 2 Ir 2.82

formation enthalpy at 0 K	65	meV per atom
crystal system	orthorhombic

=====

3.
This record from Alexandria describes crystalline CeTm3Cd2 at its relaxed geometry. The functional is GGA-PBE.

Cell: 3.5838 3.5838 12.4216 Å, 90.00 90.00 90.00°
With the nearest neighbours (Å) after each atom.
Space group P4/mmm (No. 123)
One atom of each set of equivalent atoms:
Ce 0.0000 0.0000 0.0000 (multiplicity 1)  8 Tm 3.43, 4 Ce 3.58
Tm 0.5000 0.5000 0.1865 (multiplicity 2)  4 Cd 3.20, 4 Ce 3.43
Tm 0.5000 0.5000 0.5000 (multiplicity 1)  8 Cd 3.20
Cd 0.0000 0.0000 0.3433 (multiplicity 2)  8 Tm 3.20

formation enthalpy at 0 K	-170	meV per atom
crystal system	tetragonal

=====

4.
This record from Alexandria describes crystalline NaFeIr at its relaxed geometry. The functional is GGA-PBE.

Cell: 2.6191 4.0240 9.5452 Å, 90.00 90.45 90.00°
With the nearest neighbours (Å) after each atom.
Space group P2_1/m (No. 11)
One atom of each set of equivalent atoms:
Na 0.2392 0.2500 0.1272 (multiplicity 2)  2 Na 2.62
Fe 0.2520 0.7500 0.5392 (multiplicity 2)  4 Ir 2.45-2.52, 6 Fe 2.51-2.62
Ir 0.2548 0.2500 0.6860 (multiplicity 2)  4 Fe 2.45-2.52, 2 Ir 2.62

energy above the lowest structure with this stoichiometry	0.199	eV per atom
formation enthalpy at 0 K	460	meV per atom
crystal system	monoclinic

=====

5.
This record from Alexandria describes crystalline TiCu2TcW at its relaxed geometry. The functional is GGA-PBE.

Cell: 4.5611 4.5611 4.3116 Å, 90.00 90.00 90.00°
With the nearest neighbours (Å) after each atom.
Space group P4/mmm (No. 123)
One atom of each set of equivalent atoms:
Ti 0.0000 0.0000 0.0000 (multiplicity 1)  2 Tc 2.16
Cu 0.0000 0.5000 0.5000 (multiplicity 2)  2 Tc 2.28
Tc 0.0000 0.0000 0.5000 (multiplicity 1)  2 Ti 2.16, 4 Cu 2.28
W 0.5000 0.5000 0.0000 (multiplicity 1)  8 Cu 3.14, 4 Ti 3.23

formation enthalpy at 0 K	1584	meV per atom
crystal system	tetragonal